Arrangement 1

Material: AcNd
Method: DFT, PBE
State: optimized geometry

Properties
**Symmetry**: P-6m2 (187)

a b c (Å): 3.8782 3.8782 6.1833
angles (deg): 90.00 90.00 120.00
Last column: nearest neighbours and their distance in Å.
Fractional coordinates of all 2 atoms:
1 Ac 0.0000 0.0000 0.0000  6 Nd 3.82, 6 Ac 3.88
2 Nd 0.6667 0.3333 0.5000  6 Ac 3.82, 6 Nd 3.88


Arrangement 2

Material: AcNd
Method: DFT, PBE
State: optimized geometry

Properties
**Symmetry**: Fm-3m (225)

a b c (Å): 4.9244 4.9244 4.9244
angles (deg): 60.00 60.00 60.00
Last column: nearest neighbours and their distance in Å.
Fractional coordinates of all 2 atoms:
1 Ac 0.0000 0.0000 0.0000  6 Nd 3.48
2 Nd 0.5000 0.5000 0.5000  6 Ac 3.48


Arrangement 3

Material: AcNd
Method: DFT, PBE
State: optimized geometry

Properties
**Symmetry**: F-43m (216)

a b c (Å): 5.1236 5.1236 5.1236
angles (deg): 60.00 60.00 60.00
Last column: nearest neighbours and their distance in Å.
Fractional coordinates of all 2 atoms:
1 Ac 0.0000 0.0000 0.0000  4 Nd 3.14
2 Nd 0.7500 0.7500 0.7500  4 Ac 3.14


Relative energies, unit kJ/mol of atoms: arrangement 1 0.0; arrangement 2 60.9; arrangement 3 151.8


Arrangement 1

Material: Ac3Ni
Method: DFT, PBE
State: optimized geometry

Properties
**Symmetry**: Fm-3m (225)

a b c (Å): 5.7141 5.7141 5.7141
angles (deg): 60.00 60.00 60.00
Last column: nearest neighbours and their distance in Å.
Fractional coordinates of all 4 atoms:
1 Ac 0.0000 0.0000 0.0000  8 Ac 3.50
2 Ac 0.2500 0.2500 0.2500  4 Ac 3.50, 4 Ni 3.50
3 Ac 0.7500 0.7500 0.7500  4 Ac 3.50, 4 Ni 3.50
4 Ni 0.5000 0.5000 0.5000  8 Ac 3.50


Arrangement 2

Material: Ac3Ni
Method: DFT, PBE
State: optimized geometry

Properties
**Symmetry**: P6_3/mmc (194)

a b c (Å): 9.2894 9.2894 4.0925
angles (deg): 90.00 90.00 120.00
Last column: nearest neighbours and their distance in Å.
Fractional coordinates of all 8 atoms:
1 Ac 0.2002 0.4004 0.2500  2 Ni 2.96
2 Ac 0.2002 0.7998 0.2500  2 Ni 2.96
3 Ac 0.4004 0.2002 0.7500  2 Ni 2.96
4 Ac 0.5996 0.7998 0.2500  2 Ni 2.96
5 Ac 0.7998 0.2002 0.7500  2 Ni 2.96
6 Ac 0.7998 0.5996 0.7500  2 Ni 2.96
7 Ni 0.3333 0.6667 0.7500  6 Ac 2.96
8 Ni 0.6667 0.3333 0.2500  6 Ac 2.96


Relative energies, unit kJ/mol of atoms: arrangement 1 26.3; arrangement 2 0.0


Arrangement 1

Material: AcNiPb
Method: DFT, PBE
State: optimized geometry

Properties
**Symmetry**: F-43m (216)

a b c (Å): 5.2022 5.2022 5.2022
angles (deg): 60.00 60.00 60.00
Last column: nearest neighbours and their distance in Å.
Fractional coordinates of all 3 atoms:
1 Ac 0.0000 0.0000 0.0000  4 Ni 3.19, 4 Pb 3.19
2 Ni 0.7500 0.7500 0.7500  4 Ac 3.19
3 Pb 0.2500 0.2500 0.2500  4 Ac 3.19


Arrangement 2

Material: AcNiPb
Method: DFT, PBE
State: optimized geometry

Properties
**Symmetry**: F-43m (216)

a b c (Å): 5.1082 5.1082 5.1082
angles (deg): 60.00 60.00 60.00
Last column: nearest neighbours and their distance in Å.
Fractional coordinates of all 3 atoms:
1 Ac 0.0000 0.0000 0.0000  4 Pb 3.13
2 Ni 0.5000 0.5000 0.5000  4 Pb 3.13
3 Pb 0.2500 0.2500 0.2500  4 Ac 3.13, 4 Ni 3.13


Relative energies, unit kJ/mol of atoms: arrangement 1 23.1; arrangement 2 0.0


Arrangement 1

Material: AcNiPd
Method: DFT, PBE
State: optimized geometry

Properties
**Symmetry**: F-43m (216)

a b c (Å): 4.6301 4.6301 4.6301
angles (deg): 60.00 60.00 60.00
Last column: nearest neighbours and their distance in Å.
Fractional coordinates of all 3 atoms:
1 Ac 0.0000 0.0000 0.0000  4 Ni 2.84
2 Ni 0.2500 0.2500 0.2500  4 Ac 2.84, 4 Pd 2.84
3 Pd 0.5000 0.5000 0.5000  4 Ni 2.84


Arrangement 2

Material: AcNiPd
Method: DFT, PBE
State: optimized geometry

Properties
**Symmetry**: F-43m (216)

a b c (Å): 4.8221 4.8221 4.8221
angles (deg): 60.00 60.00 60.00
Last column: nearest neighbours and their distance in Å.
Fractional coordinates of all 3 atoms:
1 Ac 0.0000 0.0000 0.0000  4 Pd 2.95, 4 Ni 2.95
2 Ni 0.7500 0.7500 0.7500  4 Ac 2.95
3 Pd 0.2500 0.2500 0.2500  4 Ac 2.95


Relative energies, unit kJ/mol of atoms: arrangement 1 0.0; arrangement 2 46.8


Arrangement 1

Material: AcNiSb
Method: DFT, PBE
State: optimized geometry

Properties
**Symmetry**: F-43m (216)

a b c (Å): 5.1682 5.1682 5.1682
angles (deg): 60.00 60.00 60.00
Last column: nearest neighbours and their distance in Å.
Fractional coordinates of all 3 atoms:
1 Ac 0.0000 0.0000 0.0000  4 Ni 3.16, 4 Sb 3.16
2 Ni 0.7500 0.7500 0.7500  4 Ac 3.16
3 Sb 0.2500 0.2500 0.2500  4 Ac 3.16


Arrangement 2

Material: AcNiSb
Method: DFT, PBE
State: optimized geometry

Properties
**Symmetry**: F-43m (216)

a b c (Å): 4.8267 4.8267 4.8267
angles (deg): 60.00 60.00 60.00
Last column: nearest neighbours and their distance in Å.
Fractional coordinates of all 3 atoms:
1 Ac 0.0000 0.0000 0.0000  4 Ni 2.96
2 Ni 0.7500 0.7500 0.7500  4 Sb 2.96, 4 Ac 2.96
3 Sb 0.5000 0.5000 0.5000  4 Ni 2.96


Relative energies, unit kJ/mol of atoms: arrangement 1 87.5; arrangement 2 0.0


Arrangement 1

Material: SrAcNi
Method: DFT, PBE
State: optimized geometry

Properties
**Symmetry**: F-43m (216)

a b c (Å): 5.1530 5.1530 5.1530
angles (deg): 60.00 60.00 60.00
Last column: nearest neighbours and their distance in Å.
Fractional coordinates of all 3 atoms:
1 Sr 0.0000 0.0000 0.0000  4 Ac 3.16
2 Ac 0.7500 0.7500 0.7500  4 Ni 3.16, 4 Sr 3.16
3 Ni 0.5000 0.5000 0.5000  4 Ac 3.16


Arrangement 2

Material: SrAcNi
Method: DFT, PBE
State: optimized geometry

Properties
**Symmetry**: F-43m (216)

a b c (Å): 5.1810 5.1810 5.1810
angles (deg): 60.00 60.00 60.00
Last column: nearest neighbours and their distance in Å.
Fractional coordinates of all 3 atoms:
1 Sr 0.0000 0.0000 0.0000  4 Ni 3.17
2 Ac 0.5000 0.5000 0.5000  4 Ni 3.17
3 Ni 0.2500 0.2500 0.2500  4 Ac 3.17, 4 Sr 3.17


Relative energies, unit kJ/mol of atoms: arrangement 1 70.2; arrangement 2 0.0


Arrangement 1

Material: AcNpSb
Method: DFT, PBE
State: optimized geometry

Properties
**Symmetry**: F-43m (216)

a b c (Å): 5.3207 5.3207 5.3207
angles (deg): 60.00 60.00 60.00
Last column: nearest neighbours and their distance in Å.
Fractional coordinates of all 3 atoms:
1 Ac 0.0000 0.0000 0.0000  4 Np 3.26
2 Np 0.2500 0.2500 0.2500  4 Sb 3.26, 4 Ac 3.26
3 Sb 0.5000 0.5000 0.5000  4 Np 3.26


Arrangement 2

Material: AcNpSb
Method: DFT, PBE
State: optimized geometry

Properties
**Symmetry**: F-43m (216)

a b c (Å): 5.4552 5.4552 5.4552
angles (deg): 60.00 60.00 60.00
Last column: nearest neighbours and their distance in Å.
Fractional coordinates of all 3 atoms:
1 Ac 0.0000 0.0000 0.0000  4 Sb 3.34, 4 Np 3.34
2 Np 0.7500 0.7500 0.7500  4 Ac 3.34
3 Sb 0.2500 0.2500 0.2500  4 Ac 3.34


Relative energies, unit kJ/mol of atoms: arrangement 1 0.0; arrangement 2 20.3


Arrangement 1

Material: AcNpSi
Method: DFT, PBE
State: optimized geometry

Properties
**Symmetry**: F-43m (216)

a b c (Å): 5.0869 5.0869 5.0869
angles (deg): 60.00 60.00 60.00
Last column: nearest neighbours and their distance in Å.
Fractional coordinates of all 3 atoms:
1 Ac 0.0000 0.0000 0.0000  4 Si 3.12
2 Np 0.5000 0.5000 0.5000  4 Si 3.12
3 Si 0.2500 0.2500 0.2500  4 Ac 3.12, 4 Np 3.12


Arrangement 2

Material: AcNpSi
Method: DFT, PBE
State: optimized geometry

Properties
**Symmetry**: F-43m (216)

a b c (Å): 5.0869 5.0869 5.0869
angles (deg): 60.00 60.00 60.00
Last column: nearest neighbours and their distance in Å.
Fractional coordinates of all 3 atoms:
1 Ac 0.0000 0.0000 0.0000  4 Np 3.12, 4 Si 3.12
2 Np 0.7500 0.7500 0.7500  4 Ac 3.12
3 Si 0.2500 0.2500 0.2500  4 Ac 3.12


Relative energies, unit kJ/mol of atoms: arrangement 1 0.0; arrangement 2 66.6


Arrangement 1

Material: AcPPdO
Method: DFT, PBE
State: optimized geometry

Properties
**Symmetry**: Pmc2_1 (26)

a b c (Å): 4.7264 4.2887 7.3469
angles (deg): 90.00 90.00 90.00
Last column: nearest neighbours and their distance in Å.
Fractional coordinates of all 8 atoms:
1 Ac 0.0000 0.2479 0.0000  3 O 2.46
2 Ac 0.0000 0.7521 0.5000  3 O 2.46
3 P 0.5000 0.2476 0.6681  3 Pd 2.46-2.47
4 P 0.5000 0.7524 0.1681  3 Pd 2.46-2.47
5 Pd 0.5000 0.2525 0.3337  2 O 2.36, 3 P 2.46-2.47
6 Pd 0.5000 0.7475 0.8337  2 O 2.36, 3 P 2.46-2.47
7 O 0.0000 0.2522 0.3346  2 Pd 2.36, 3 Ac 2.46
8 O 0.0000 0.7478 0.8346  2 Pd 2.36, 3 Ac 2.46


Arrangement 2

Material: AcPPdO
Method: DFT, PBE
State: optimized geometry

Properties
**Symmetry**: Pmc2_1 (26)

a b c (Å): 4.0914 7.2008 6.2312
angles (deg): 90.00 90.00 90.00
Last column: nearest neighbours and their distance in Å.
Fractional coordinates of all 8 atoms:
1 Ac 0.0000 0.2402 0.0000  2 O 2.31
2 Ac 0.0000 0.7598 0.5000  2 O 2.31
3 P 0.0000 0.3371 0.4992  2 Pd 2.29
4 P 0.0000 0.6629 0.9992  2 Pd 2.29
5 Pd 0.5000 0.1949 0.4887  1 O 2.13, 2 P 2.29
6 Pd 0.5000 0.8051 0.9887  1 O 2.13, 2 P 2.29
7 O 0.5000 0.0985 0.9508  1 Pd 2.13, 2 Ac 2.31
8 O 0.5000 0.9015 0.4508  1 Pd 2.13, 2 Ac 2.31


Relative energies, unit kJ/mol of atoms: arrangement 1 0.0; arrangement 2 27.3


Arrangement 1

Material: AcPPdO
Method: DFT, PBE
State: optimized geometry

Properties
**Symmetry**: P4/nmm (129)

a b c (Å): 4.2550 4.2550 8.4710
angles (deg): 90.00 90.00 90.00
Last column: nearest neighbours and their distance in Å.
Fractional coordinates of all 8 atoms:
1 Ac 0.2500 0.2500 0.1489  4 O 2.47
2 Ac 0.7500 0.7500 0.8511  4 O 2.47
3 P 0.2500 0.2500 0.6366  4 Pd 2.42
4 P 0.7500 0.7500 0.3634  4 Pd 2.42
5 Pd 0.2500 0.7500 0.5000  4 P 2.42
6 Pd 0.7500 0.2500 0.5000  4 P 2.42
7 O 0.2500 0.7500 0.0000  4 Ac 2.47
8 O 0.7500 0.2500 0.0000  4 Ac 2.47


Arrangement 2

Material: AcPPdO
Method: DFT, PBE
State: optimized geometry

Properties
**Symmetry**: P4/nmm (129)

a b c (Å): 6.3696 6.3696 4.5684
angles (deg): 90.00 90.00 90.00
Last column: nearest neighbours and their distance in Å.
Fractional coordinates of all 8 atoms:
1 Ac 0.2500 0.7500 0.0000  2 O 2.28
2 Ac 0.7500 0.2500 0.0000  2 O 2.28
3 P 0.2500 0.2500 0.0030  2 Pd 2.28-2.29
4 P 0.7500 0.7500 0.9970  2 Pd 2.28-2.29
5 Pd 0.2500 0.2500 0.5026  2 P 2.28-2.29
6 Pd 0.7500 0.7500 0.4974  2 P 2.28-2.29
7 O 0.2500 0.7500 0.5000  2 Ac 2.28
8 O 0.7500 0.2500 0.5000  2 Ac 2.28


Relative energies, unit kJ/mol of atoms: arrangement 1 0.0; arrangement 2 79.0


Arrangement 1

Material: AcRePO
Method: DFT, PBE
State: optimized geometry

Properties
**Symmetry**: Pmc2_1 (26)

a b c (Å): 4.3243 6.4676 6.1382
angles (deg): 90.00 90.00 90.00
Last column: nearest neighbours and their distance in Å.
Fractional coordinates of all 8 atoms:
1 Ac 0.0000 0.2169 0.0000  2 O 2.42
2 Ac 0.0000 0.7831 0.5000  2 O 2.42
3 Re 0.5000 0.3917 0.5624  2 O 2.00-2.04
4 Re 0.5000 0.6083 0.0624  2 O 2.00-2.04
5 P 0.0000 0.2643 0.4934  2 Re 2.35
6 P 0.0000 0.7357 0.9934  2 Re 2.35
7 O 0.5000 0.3422 0.8843  2 Re 2.00-2.04
8 O 0.5000 0.6578 0.3843  2 Re 2.00-2.04


Arrangement 2

Material: AcRePO
Method: DFT, PBE
State: optimized geometry

Properties
**Symmetry**: P4/nmm (129)

a b c (Å): 4.4808 4.4808 7.0304
angles (deg): 90.00 90.00 90.00
Last column: nearest neighbours and their distance in Å.
Fractional coordinates of all 8 atoms:
1 Ac 0.2500 0.7500 0.0000  4 P 3.01, 4 Ac 3.17
2 Ac 0.7500 0.2500 0.0000  4 P 3.01, 4 Ac 3.17
3 Re 0.2500 0.2500 0.3924  1 P 2.26, 4 O 2.36
4 Re 0.7500 0.7500 0.6076  1 P 2.26, 4 O 2.36
5 P 0.2500 0.2500 0.7143  1 Re 2.26
6 P 0.7500 0.7500 0.2857  1 Re 2.26
7 O 0.2500 0.7500 0.5000  4 Re 2.36
8 O 0.7500 0.2500 0.5000  4 Re 2.36


Relative energies, unit kJ/mol of atoms: arrangement 1 0.0; arrangement 2 129.2


Arrangement 1

Material: AcRePO
Method: DFT, PBE
State: optimized geometry

Properties
**Symmetry**: Pmc2_1 (26)

a b c (Å): 3.9817 6.0945 6.6285
angles (deg): 90.00 90.00 90.00
Last column: nearest neighbours and their distance in Å.
Fractional coordinates of all 8 atoms:
1 Ac 0.0000 0.2162 0.0000  2 O 2.44-2.53
2 Ac 0.0000 0.7838 0.5000  2 O 2.44-2.53
3 Re 0.5000 0.2626 0.4137  2 O 2.10, 2 P 2.22-2.25
4 Re 0.5000 0.7374 0.9137  2 O 2.10, 2 P 2.22-2.25
5 P 0.5000 0.4478 0.7022  2 Re 2.22-2.25
6 P 0.5000 0.5522 0.2022  2 Re 2.22-2.25
7 O 0.0000 0.1619 0.3780  2 Re 2.10
8 O 0.0000 0.8381 0.8780  2 Re 2.10


Arrangement 2

Material: AcRePO
Method: DFT, PBE
State: optimized geometry

Properties
**Symmetry**: P4/nmm (129)

a b c (Å): 4.0437 4.0437 9.1987
angles (deg): 90.00 90.00 90.00
Last column: nearest neighbours and their distance in Å.
Fractional coordinates of all 8 atoms:
1 Ac 0.2500 0.2500 0.1468  4 O 2.43
2 Ac 0.7500 0.7500 0.8532  4 O 2.43
3 Re 0.2500 0.7500 0.5000  4 P 2.42
4 Re 0.7500 0.2500 0.5000  4 P 2.42
5 P 0.2500 0.2500 0.6446  4 Re 2.42
6 P 0.7500 0.7500 0.3554  4 Re 2.42
7 O 0.2500 0.7500 0.0000  4 Ac 2.43
8 O 0.7500 0.2500 0.0000  4 Ac 2.43


Relative energies, unit kJ/mol of atoms: arrangement 1 66.7; arrangement 2 0.0